No. 1
# PBE-GGA CrWSe, relaxed
# * total energy: -49.7 eV per cell
# * crystal system: hexagonal
# * ΔE_f (raw): 0.4097 eV per atom
# * excess energy over the best structure of this formula in the dataset: 29 meV per atom
# * mass density: 11.46 Mg/m³
data_CrWSe
_chemical_formula_sum 'Cr2 W2 Se2'
_symmetry_space_group_name_H-M 'P -6 m 2'
_symmetry_Int_Tables_number 187
_symmetry_space_group_name_Hall 'P -6 2'
_cell_length_a 3.0882
_cell_length_b 3.0882
_cell_length_c 11.0458
_cell_angle_alpha 90.00
_cell_angle_beta 90.00
_cell_angle_gamma 120.00
loop_
_atom_site_label
_atom_site_type_symbol
_atom_site_fract_x
_atom_site_fract_y
_atom_site_fract_z
Cr1 Cr 0.0000 0.0000 0.1747
W1 W 0.0000 0.0000 0.5000
W2 W 0.6667 0.3333 0.0000
Se1 Se 0.6667 0.3333 0.3295



No. 2
# PBE-GGA Na3SbIr, relaxed
# * total energy: -12.9 eV per cell
# * crystal system: cubic
# * ΔE_f (raw): 0.7989 eV per atom
# * excess energy over the best structure of this formula in the dataset: 0 meV per atom
# * mass density: 4.06 Mg/m³
data_Na3SbIr
_chemical_formula_sum 'Na3 Sb1 Ir1'
_symmetry_space_group_name_H-M 'P m -3 m'
_symmetry_Int_Tables_number 221
_symmetry_space_group_name_Hall '-P 4 2 3'
_cell_length_a 5.3923
_cell_length_b 5.3923
_cell_length_c 5.3923
_cell_angle_alpha 90.00
_cell_angle_beta 90.00
_cell_angle_gamma 90.00
loop_
_atom_site_label
_atom_site_type_symbol
_atom_site_fract_x
_atom_site_fract_y
_atom_site_fract_z
Na1 Na 0.0000 0.0000 0.5000
Sb1 Sb 0.5000 0.5000 0.5000
Ir1 Ir 0.0000 0.0000 0.0000



No. 3
# PBE-GGA LaPmPrGa, relaxed
# * total energy: -71.3 eV per cell
# * crystal system: cubic
# * energy of formation: -0.086 eV/atom
# * mass density: 6.87 Mg/m³
data_LaPmPrGa
_chemical_formula_sum 'La4 Pm4 Pr4 Ga4'
_symmetry_space_group_name_H-M 'F -4 3 m'
_symmetry_Int_Tables_number 216
_symmetry_space_group_name_Hall 'F -4 2 3'
_cell_length_a 7.8204
_cell_length_b 7.8204
_cell_length_c 7.8204
_cell_angle_alpha 90.00
_cell_angle_beta 90.00
_cell_angle_gamma 90.00
loop_
_atom_site_label
_atom_site_type_symbol
_atom_site_fract_x
_atom_site_fract_y
_atom_site_fract_z
La1 La 0.0000 0.0000 0.0000
Pm1 Pm 0.2500 0.2500 0.2500
Pr1 Pr 0.0000 0.0000 0.5000
Ga1 Ga 0.2500 0.2500 0.7500



No. 4
# PBE-GGA RbZnTc2, relaxed
# * total energy: -71.0 eV per cell
# * crystal system: tetragonal
# * energy of formation: 1.305 eV/atom
# * excess energy over the best structure of this formula in the dataset: 0 meV per atom
# * mass density: 6.35 Mg/m³
data_RbZnTc2
_chemical_formula_sum 'Rb4 Zn4 Tc8'
_symmetry_space_group_name_H-M 'I -4 2 d'
_symmetry_Int_Tables_number 122
_symmetry_space_group_name_Hall 'I -4 2bw'
_cell_length_a 4.2879
_cell_length_b 4.2879
_cell_length_c 19.7215
_cell_angle_alpha 90.00
_cell_angle_beta 90.00
_cell_angle_gamma 90.00
loop_
_atom_site_label
_atom_site_type_symbol
_atom_site_fract_x
_atom_site_fract_y
_atom_site_fract_z
Rb1 Rb 0.0000 0.0000 0.0000
Zn1 Zn 0.0000 0.0000 0.5000
Tc1 Tc 0.1284 0.2500 0.6250



No. 5
# PBE-GGA NpAs2Pd, relaxed
# * total energy: -29.3 eV per cell
# * crystal system: tetragonal
# * energy of formation: -0.467 eV/atom
# * mass density: 10.96 Mg/m³
data_NpAs2Pd
_chemical_formula_sum 'Np1 As2 Pd1'
_symmetry_space_group_name_H-M 'P 4/m m m'
_symmetry_Int_Tables_number 123
_symmetry_space_group_name_Hall '-P 4 2'
_cell_length_a 4.5419
_cell_length_b 4.5419
_cell_length_c 3.6229
_cell_angle_alpha 90.00
_cell_angle_beta 90.00
_cell_angle_gamma 90.00
loop_
_atom_site_label
_atom_site_type_symbol
_atom_site_fract_x
_atom_site_fract_y
_atom_site_fract_z
Np1 Np 0.0000 0.0000 0.0000
As1 As 0.0000 0.5000 0.5000
Pd1 Pd 0.5000 0.5000 0.0000



No. 6
# PBE-GGA NaInHg5Pb2, relaxed
# * total energy: -52.9 eV per cell
# * crystal system: orthorhombic
# * energy of formation: -0.026 eV/atom
# * mass density: 10.34 Mg/m³
data_NaInHg5Pb2
_chemical_formula_sum 'Na4 In4 Hg20 Pb8'
_symmetry_space_group_name_H-M 'C m c 21'
_symmetry_Int_Tables_number 36
_cell_length_a 3.8537
_cell_length_b 17.5405
_cell_length_c 14.7777
_cell_angle_alpha 90.00
_cell_angle_beta 90.00
_cell_angle_gamma 90.00
loop_
_symmetry_equiv_pos_as_xyz
'x,y,z'
'-x,-y,z+1/2'
'-x,y,z'
'x,-y,z+1/2'
'x+1/2,y+1/2,z'
'-x+1/2,-y+1/2,z+1/2'
'-x+1/2,y+1/2,z'
'x+1/2,-y+1/2,z+1/2'
loop_
_atom_site_label
_atom_site_type_symbol
_atom_site_fract_x
_atom_site_fract_y
_atom_site_fract_z
Na1 Na 0.0000 0.0818 0.0000
In1 In 0.0000 0.2665 0.5966
Hg1 Hg 0.0000 0.0186 0.3179
Hg2 Hg 0.0000 0.0986 0.6386
Hg3 Hg 0.0000 0.1889 0.2642
Hg4 Hg 0.0000 0.2501 0.9265
Hg5 Hg 0.0000 0.4430 0.6593
Pb1 Pb 0.0000 0.3667 0.3099
Pb2 Pb 0.0000 0.4186 0.9690



No. 7
# PBE-GGA DyPuCo10, relaxed
# * total energy: -91.1 eV per cell
# * crystal system: orthorhombic
# * energy of formation: -0.096 eV/atom
# * mass density: 10.08 Mg/m³
data_DyPuCo10
_chemical_formula_sum 'Dy1 Pu1 Co10'
_symmetry_space_group_name_H-M 'P m m m'
_symmetry_Int_Tables_number 47
_cell_length_a 3.9570
_cell_length_b 4.9065
_cell_length_c 8.4509
_cell_angle_alpha 90.00
_cell_angle_beta 90.00
_cell_angle_gamma 90.00
loop_
_symmetry_equiv_pos_as_xyz
'x,y,z'
'-x,-y,-z'
'-x,-y,z'
'x,y,-z'
'x,-y,-z'
'-x,y,z'
'-x,y,-z'
'x,-y,z'
loop_
_atom_site_label
_atom_site_type_symbol
_atom_site_fract_x
_atom_site_fract_y
_atom_site_fract_z
Dy1 Dy 0.0000 0.0000 0.0000
Pu1 Pu 0.0000 0.5000 0.5000
Co1 Co 0.0000 0.0000 0.3418
Co2 Co 0.0000 0.5000 0.1767
Co3 Co 0.5000 0.0000 0.5000
Co4 Co 0.5000 0.2488 0.2503
Co5 Co 0.5000 0.5000 0.0000



No. 8
# PBE-GGA AcTl2F5, relaxed
# * total energy: -167.5 eV per cell
# * crystal system: orthorhombic
# * ΔE_f (raw): -2.9596 eV per atom
# * mass density: 7.22 Mg/m³
data_AcTl2F5
_chemical_formula_sum 'Ac4 Tl8 F20'
_symmetry_space_group_name_H-M 'P n m a'
_symmetry_Int_Tables_number 62
_cell_length_a 11.5471
_cell_length_b 8.1606
_cell_length_c 7.1351
_cell_angle_alpha 90.00
_cell_angle_beta 90.00
_cell_angle_gamma 90.00
loop_
_symmetry_equiv_pos_as_xyz
'x,y,z'
'-x,-y,-z'
'-x+1/2,-y,z+1/2'
'x+1/2,y,-z+1/2'
'x+1/2,-y+1/2,-z+1/2'
'-x+1/2,y+1/2,z+1/2'
'-x,y+1/2,-z'
'x,-y+1/2,z'
loop_
_atom_site_label
_atom_site_type_symbol
_atom_site_fract_x
_atom_site_fract_y
_atom_site_fract_z
Ac1 Ac 0.0027 0.2500 0.0610
Tl1 Tl 0.1703 0.0050 0.5134
F1 F 0.0164 0.2500 0.4023
F2 F 0.0779 0.5304 0.1479
F3 F 0.1767 0.2500 0.8711
F4 F 0.2026 0.7500 0.8468



No. 9
# PBE-GGA TaHRh2, relaxed
# * total energy: -119.1 eV per cell
# * crystal system: cubic
# * excess energy over the best structure of this formula in the dataset: 242 meV per atom
# * mass density: 12.03 Mg/m³
data_TaHRh2
_chemical_formula_sum 'Ta4 H4 Rh8'
_symmetry_space_group_name_H-M 'F m -3 m'
_symmetry_Int_Tables_number 225
_symmetry_space_group_name_Hall '-F 4 2 3'
_cell_length_a 5.9826
_cell_length_b 5.9826
_cell_length_c 5.9826
_cell_angle_alpha 90.00
_cell_angle_beta 90.00
_cell_angle_gamma 90.00
loop_
_atom_site_label
_atom_site_type_symbol
_atom_site_fract_x
_atom_site_fract_y
_atom_site_fract_z
Ta1 Ta 0.0000 0.0000 0.0000
H1 H 0.0000 0.0000 0.5000
Rh1 Rh 0.2500 0.2500 0.2500



No. 10
# PBE-GGA Sr3TbPa2As6, relaxed
# * total energy: -142.9 eV per cell
# * crystal system: monoclinic
# * energy of formation: -1.241 eV/atom
# * mass density: 6.61 Mg/m³
data_Sr3TbPa2As6
_chemical_formula_sum 'Sr6 Tb2 Pa4 As12'
_symmetry_space_group_name_H-M 'C 1 2/m 1'
_symmetry_Int_Tables_number 12
_cell_length_a 7.3672
_cell_length_b 12.7590
_cell_length_c 7.5367
_cell_angle_alpha 90.00
_cell_angle_beta 109.00
_cell_angle_gamma 90.00
loop_
_symmetry_equiv_pos_as_xyz
'x,y,z'
'-x,-y,-z'
'-x,y,-z'
'x,-y,z'
'x+1/2,y+1/2,z'
'-x+1/2,-y+1/2,-z'
'-x+1/2,y+1/2,-z'
'x+1/2,-y+1/2,z'
loop_
_atom_site_label
_atom_site_type_symbol
_atom_site_fract_x
_atom_site_fract_y
_atom_site_fract_z
Sr1 Sr 0.0000 0.0000 0.0000
Sr2 Sr 0.0000 0.3354 0.0000
Tb1 Tb 0.0000 0.5000 0.5000
Pa1 Pa 0.0000 0.1670 0.5000
As1 As 0.2312 0.0000 0.7186
As2 As 0.2439 0.3292 0.7186



- Among the records above, which one has the lowest total energy?
  AcTl2F5